[1]
VASP calculation (PBE) on crystalline LiHf2Hg2Te6 at its relaxed geometry.

a b c (Å): 7.4212 7.4212 8.1443
angles (deg): 97.94 97.94 122.44
Element x y z (fractional)
Li: 0.0000 0.0000 0.5000
Hf: 0.3573 0.6427 0.5000
Hf: 0.6427 0.3573 0.5000
Hg: 0.6882 0.3118 0.0000
Hg: 0.3118 0.6882 0.0000
Te: 0.7199 0.7199 0.7375
Te: 0.0300 0.3762 0.6856
Te: 0.2801 0.2801 0.2625
Te: 0.3762 0.0300 0.6856
Te: 0.9700 0.6238 0.3144
Te: 0.6238 0.9700 0.3144

- DFT total energy: -4.283 eV/atom
- N(E_F): 2.06 states/eV/f.u.
- Uncorrected formation energy: -530.6 meV/atom


[2]
VASP calculation (PBE) on crystalline LiHfTlHg at its relaxed geometry.

a b c (Å): 4.9096 4.9096 4.9096
angles (deg): 60.00 60.00 60.00
Element x y z (fractional)
Tl: 0.2500 0.2500 0.2500
Hf: 0.5000 0.5000 0.5000
Hg: 0.7500 0.7500 0.7500
Li: 0.0000 0.0000 0.0000

- DFT total energy: -3.680 eV/atom
- N(E_F): 1.57 states/eV/f.u.


[3]
VASP calculation (PBE) on crystalline LiYHf2Hg at its relaxed geometry.

a b c (Å): 5.2925 5.6502 5.2925
angles (deg): 90.00 90.00 90.00
Element x y z (fractional)
Y: 0.0000 0.5000 0.0000
Hf: 0.0000 0.0000 0.5000
Hf: 0.5000 0.0000 0.0000
Hg: 0.0000 0.0000 0.0000
Li: 0.5000 0.5000 0.5000

- DFT total energy: -4.802 eV/atom
- N(E_F): 9.03 states/eV/f.u.